VASP calculation (meta-GGA SCAN) on a crystal of Zr3Ni relaxed with PBEsol.

The structure belongs to space group P-6m2 (No. 187); the cell edges are 3.2721, 3.2721 and 8.6222 Å and the angles 90.00°, 90.00° and 120.00°. The inequivalent atoms are Zr at (0.0000, 0.0000, 0.0000), Zr at (0.6667, 0.3333, 0.2924) and Ni at (0.0000, 0.0000, 0.5000).

For the calculated volume, the calculation gives 80 Å³ per cell. Its density of states at the Fermi level is 3.2 states/eV/f.u. The magnetic moment comes out at 0.00 μB per cell. Its formation energy is -0.01 eV/atom.

VASP calculation (meta-GGA SCAN) on a crystal of In3SeN relaxed with PBEsol.

The structure belongs to space group Pm-3m (No. 221); the cell edges are 5.478, 5.478 and 5.478 Å and the angles 90.00°, 90.00° and 90.00°. The inequivalent atoms are In at (0.000, 0.000, 0.500), Se at (0.000, 0.000, 0.000) and N at (0.500, 0.500, 0.500).

For the calculated volume, the calculation gives 164 Å³ per cell. Its density of states at the Fermi level is 3.2 states/eV/f.u. Its uncorrected energy is -24.598 eV per atom. The magnetic moment comes out at 1.66 μB per cell.

Number 1 is which compound? Zr3Ni

What is the magnetic moment in the first record? 0.00 μB per cell